# Nb3SiPt | the Alexandria database | PBE | relaxed
# ΔE_f (raw): 1.140 eV/atom
# Relative energy among the computed polymorphs: 0.606 eV/atom
data_Nb3SiPt
_chemical_formula_sum 'Nb3 Si1 Pt1'
_symmetry_space_group_name_H-M 'P 1'
_symmetry_Int_Tables_number 1
_cell_length_a 4.869
_cell_length_b 4.869
_cell_length_c 4.869
_cell_angle_alpha 90.00
_cell_angle_beta 90.00
_cell_angle_gamma 90.00
loop_
_symmetry_equiv_pos_as_xyz
'x,y,z'
loop_
_atom_site_label
_atom_site_type_symbol
_atom_site_fract_x
_atom_site_fract_y
_atom_site_fract_z
Si1 Si 0.500 0.500 0.500
Nb1 Nb 0.000 0.500 0.000
Nb2 Nb 0.500 0.000 0.000
Nb3 Nb 0.000 0.000 0.500
Pt1 Pt 0.000 0.000 0.000

# Nb2Si2Pt | the Alexandria database | PBE | relaxed
# ΔE_f (raw): -0.681 eV/atom
data_Nb2Si2Pt
_chemical_formula_sum 'Nb4 Si4 Pt2'
_symmetry_space_group_name_H-M 'P 1'
_symmetry_Int_Tables_number 1
_cell_length_a 6.392
_cell_length_b 6.392
_cell_length_c 3.767
_cell_angle_alpha 90.00
_cell_angle_beta 90.00
_cell_angle_gamma 90.00
loop_
_symmetry_equiv_pos_as_xyz
'x,y,z'
loop_
_atom_site_label
_atom_site_type_symbol
_atom_site_fract_x
_atom_site_fract_y
_atom_site_fract_z
Nb1 Nb 0.671 0.829 0.500
Nb2 Nb 0.171 0.671 0.500
Nb3 Nb 0.329 0.171 0.500
Nb4 Nb 0.829 0.329 0.500
Si1 Si 0.629 0.129 0.000
Si2 Si 0.871 0.629 0.000
Si3 Si 0.129 0.371 0.000
Si4 Si 0.371 0.871 0.000
Pt1 Pt 0.000 0.000 0.000
Pt2 Pt 0.500 0.500 0.000

Which value of ΔE_f (raw) does entry 1 give?
1.140 eV/atom